Computed, not measured: a geometry-optimized LiTaHgPd structure at the PBE level of DFT.

Total DFT energy (no corrections) ... -4.801 eV per atom
Offset from the most stable computed form ... 0.020 eV/atom
Total magnetization ... 0.00 μB/f.u.

The structure in CIF format:
```
data_LiTaHgPd
_chemical_formula_sum 'Li4 Ta4 Hg4 Pd4'
_cell_length_a 6.4621
_cell_length_b 6.4621
_cell_length_c 6.4621
_cell_angle_alpha 90.00
_cell_angle_beta 90.00
_cell_angle_gamma 90.00
_space_group_name_H-M_alt 'F -4 3 m'
_space_group_IT_number 216
_space_group_name_Hall 'F -4 2 3'
loop_
_atom_site_label
_atom_site_type_symbol
_atom_site_fract_x
_atom_site_fract_y
_atom_site_fract_z
Li1 Li 0.0000 0.0000 0.0000
Ta1 Ta 0.0000 0.0000 0.5000
Hg1 Hg 0.2500 0.2500 0.7500
Pd1 Pd 0.2500 0.2500 0.2500
```